(1)
Crystalline BaTaSi2 at its relaxed geometry, computed with PBE-GGA.

Formation energy without anion corrections ... -0.0597 eV/atom
E ... -6.2150 eV per atom
Space group ... Amm2, No. 38
Excess energy over the best structure of this formula in the dataset ... 0.062 eV/atom

a = 3.604 Å, b = 3.855 Å, c = 7.107 Å
α = 74.30°, β = 90.00°, γ = 90.00°
Element x y z (fractional)
Ta: 0.000 0.522 0.333
Si: 0.000 0.154 0.067
Si: 0.500 0.033 0.308
Ba: 0.500 0.791 0.793

(2)
Crystalline BaTaSi2 at its relaxed geometry, computed with PBE-GGA.

Formation energy without anion corrections ... 0.9427 eV/atom
E ... -5.2127 eV per atom
Space group ... F-43m, No. 216
Excess energy over the best structure of this formula in the dataset ... 1.065 eV/atom

a = 4.871 Å, b = 4.871 Å, c = 4.871 Å
α = 60.00°, β = 60.00°, γ = 60.00°
Element x y z (fractional)
Ta: 0.750 0.750 0.750
Ba: 0.500 0.500 0.500
Si: 0.000 0.000 0.000
Si: 0.250 0.250 0.250

(3)
Crystalline Ba2TaSi at its relaxed geometry, computed with PBE-GGA.

Formation energy without anion corrections ... 0.1812 eV/atom
E ... -5.0990 eV per atom
Space group ... R3m, No. 160

a = 9.305 Å, b = 9.305 Å, c = 9.305 Å
α = 27.95°, β = 27.95°, γ = 27.95°
Element x y z (fractional)
Si: 0.458 0.458 0.458
Ba: 0.213 0.213 0.213
Ba: 0.037 0.037 0.037
Ta: 0.792 0.792 0.792

(4)
Crystalline BaTaSi2 at its relaxed geometry, computed with PBE-GGA.

Formation energy without anion corrections ... -0.0158 eV/atom
E ... -6.1712 eV per atom
Space group ... R-3m, No. 166
Excess energy over the best structure of this formula in the dataset ... 0.106 eV/atom

a = 7.110 Å, b = 7.110 Å, c = 7.110 Å
α = 34.02°, β = 34.02°, γ = 34.02°
Element x y z (fractional)
Si: 0.531 0.531 0.531
Si: 0.969 0.969 0.969
Ba: 0.750 0.750 0.750
Ta: 0.250 0.250 0.250

(5)
Crystalline BaTa2Si at its relaxed geometry, computed with PBE-GGA.

Formation energy without anion corrections ... 0.4892 eV/atom
E ... -7.2736 eV per atom
Space group ... Cmmm, No. 65

a = 3.069 Å, b = 3.069 Å, c = 9.539 Å
α = 90.00°, β = 90.00°, γ = 101.56°
Element x y z (fractional)
Si: 0.500 0.500 0.750
Ta: 0.000 0.000 0.575
Ta: 0.000 0.000 0.925
Ba: 0.500 0.500 0.250

(6)
Crystalline BaTaSi4 at its relaxed geometry, computed with PBE-GGA.

Formation energy without anion corrections ... 0.4961 eV/atom
E ... -5.4151 eV per atom
Space group ... F-43m, No. 216

a = 5.403 Å, b = 5.403 Å, c = 5.403 Å
α = 60.00°, β = 60.00°, γ = 60.00°
Element x y z (fractional)
Si: 0.853 0.382 0.382
Si: 0.382 0.382 0.853
Si: 0.382 0.853 0.382
Si: 0.382 0.382 0.382
Ta: 0.750 0.750 0.750
Ba: 0.000 0.000 0.000

(7)
Crystalline BaTa2Si at its relaxed geometry, computed with PBE-GGA.

Formation energy without anion corrections ... 1.0375 eV/atom
E ... -6.7253 eV per atom
Space group ... I4/mmm, No. 139

a = 5.209 Å, b = 5.209 Å, c = 5.209 Å
α = 129.13°, β = 129.13°, γ = 74.79°
Element x y z (fractional)
Ta: 0.000 0.000 0.000
Ta: 0.500 0.500 0.000
Si: 0.750 0.250 0.500
Ba: 0.250 0.750 0.500

(8)
Crystalline Ba2TaSi at its relaxed geometry, computed with PBE-GGA.

Formation energy without anion corrections ... 0.3542 eV/atom
E ... -4.9260 eV per atom
Space group ... Amm2, No. 38

a = 4.378 Å, b = 5.063 Å, c = 6.849 Å
α = 68.31°, β = 90.00°, γ = 90.00°
Element x y z (fractional)
Ba: 0.500 0.266 0.344
Ba: 0.000 0.979 0.917
Si: 0.000 0.679 0.518
Ta: 0.500 0.577 0.722

(9)
Crystalline BaTa2Si at its relaxed geometry, computed with PBE-GGA.

Formation energy without anion corrections ... 0.7532 eV/atom
E ... -7.0096 eV per atom
Space group ... R-3m, No. 166

a = 10.874 Å, b = 10.874 Å, c = 10.874 Å
α = 16.14°, β = 16.14°, γ = 16.14°
Element x y z (fractional)
Ta: 0.017 0.017 0.017
Ta: 0.483 0.483 0.483
Si: 0.750 0.750 0.750
Ba: 0.250 0.250 0.250

(10)
Crystalline BaTa2Si at its relaxed geometry, computed with PBE-GGA.

Formation energy without anion corrections ... 0.4825 eV/atom
E ... -7.2803 eV per atom
Space group ... P4mm, No. 99

a = 3.003 Å, b = 3.003 Å, c = 9.826 Å
α = 90.00°, β = 90.00°, γ = 90.00°
Element x y z (fractional)
Ta: 0.500 0.500 0.200
Ta: 0.000 0.000 0.977
Ba: 0.000 0.000 0.529
Si: 0.500 0.500 0.795

(11)
Crystalline BaTaSi2 at its relaxed geometry, computed with PBE-GGA.

Formation energy without anion corrections ... 0.2518 eV/atom
E ... -5.9035 eV per atom
Space group ... P4mm, No. 99
Excess energy over the best structure of this formula in the dataset ... 0.374 eV/atom

a = 3.588 Å, b = 3.588 Å, c = 7.696 Å
α = 90.00°, β = 90.00°, γ = 90.00°
Element x y z (fractional)
Ta: 0.000 0.000 0.372
Si: 0.000 0.000 0.049
Si: 0.500 0.500 0.318
Ba: 0.500 0.500 0.761

(12)
Crystalline Ba2TaSi at its relaxed geometry, computed with PBE-GGA.

Formation energy without anion corrections ... 0.7977 eV/atom
E ... -4.4826 eV per atom
Space group ... P4/mmm, No. 123

a = 3.373 Å, b = 3.373 Å, c = 10.342 Å
α = 90.00°, β = 90.00°, γ = 90.00°
Element x y z (fractional)
Ta: 0.500 0.500 0.750
Si: 0.500 0.500 0.250
Ba: 0.000 0.000 0.020
Ba: 0.000 0.000 0.480

Which value of formation energy without anion corrections does entry 2 give? 0.9427 eV/atom